This record from Alexandria via LeMat-Bulk describes a geometry-optimized Ce2Er13 structure. The functional is PBE.

Energy = -4.649 eV per atom
Spin magnetization = 2.79 μB/f.u.
Calculated density = 8.91 g/cm3
Crystal system = triclinic
Calculated volume = 30.5 Å³/atom

The structure in POSCAR format:
```
Ce2Er13
1.0
-6.010 1.873 -1.799
-2.102 -7.747 3.651
-0.786 6.963 5.407
Ce Er
2 13
Direct
0.883 0.777 0.585 Ce
0.117 0.223 0.415 Ce
0.706 0.637 0.037 Er
0.294 0.363 0.963 Er
0.000 0.000 0.000 Er
0.289 0.026 0.623 Er
0.711 0.974 0.377 Er
0.093 0.553 0.750 Er
0.907 0.447 0.250 Er
0.407 0.598 0.396 Er
0.593 0.402 0.604 Er
0.485 0.832 0.835 Er
0.515 0.168 0.165 Er
0.793 0.206 0.808 Er
0.207 0.794 0.192 Er
```

This record from Alexandria via LeMat-Bulk describes a geometry-optimized CeEuEr structure. The functional is PBE.

Energy = -6.791 eV per atom
Spin magnetization = 6.64 μB/f.u.
Calculated density = 7.75 g/cm3
Crystal system = trigonal
Calculated volume = 32.8 Å³/atom

The structure in POSCAR format:
```
CeEuEr
1.0
3.572 0.000 0.000
-1.786 3.094 0.000
0.000 0.000 8.911
Eu Ce Er
1 1 1
Direct
0.000 0.000 0.000 Eu
0.667 0.333 0.345 Ce
0.333 0.667 0.656 Er
```

This record from Alexandria via LeMat-Bulk describes a geometry-optimized CeEuEr structure. The functional is PBE.

Energy = -6.775 eV per atom
Spin magnetization = 6.53 μB/f.u.
Calculated density = 7.67 g/cm3
Crystal system = tetragonal
Calculated volume = 33.2 Å³/atom

The structure in POSCAR format:
```
CeEuEr
1.0
3.578 0.000 0.000
0.000 3.578 0.000
-1.789 -1.789 7.773
Eu Ce Er
1 1 1
Direct
0.999 0.999 0.999 Eu
0.326 0.326 0.651 Ce
0.675 0.675 0.350 Er
```

This record from Alexandria via LeMat-Bulk describes a geometry-optimized CeEu2Er structure. The functional is PBE.

Energy = -7.524 eV per atom
Spin magnetization = 16.08 μB/f.u.
Calculated density = 7.19 g/cm3
Crystal system = tetragonal
Calculated volume = 35.3 Å³/atom

The structure in POSCAR format:
```
CeEu2Er
1.0
-0.854 -3.877 -0.495
5.541 -0.978 -1.904
1.725 -1.092 5.578
Eu Ce Er
2 1 1
Direct
0.000 0.000 0.500 Eu
0.000 0.500 0.000 Eu
0.500 0.000 0.000 Ce
0.500 0.500 0.500 Er
```

This record from Alexandria via LeMat-Bulk describes a geometry-optimized CeEu2Er structure. The functional is PBE.

Energy = -7.502 eV per atom
Spin magnetization = 14.02 μB/f.u.
Calculated density = 7.39 g/cm3
Crystal system = trigonal
Calculated volume = 34.4 Å³/atom

The structure in POSCAR format:
```
CeEu2Er
1.0
-0.343 0.082 3.506
2.512 -1.381 2.049
6.679 10.870 2.170
Eu Ce Er
2 1 1
Direct
0.913 0.913 0.262 Eu
0.087 0.087 0.738 Eu
0.000 0.000 0.000 Ce
0.500 0.500 0.500 Er
```

This record from Alexandria via LeMat-Bulk describes a geometry-optimized Ce4EuEr structure. The functional is PBE.

Energy = -6.183 eV per atom
Spin magnetization = 3.31 μB/f.u.
Calculated density = 7.96 g/cm3
Crystal system = cubic
Calculated volume = 30.6 Å³/atom

The structure in POSCAR format:
```
Ce4EuEr
1.0
6.378 0.000 0.000
3.189 5.523 0.000
3.189 1.841 5.208
Eu Ce Er
1 4 1
Direct
0.250 0.250 0.250 Eu
0.631 0.631 0.107 Ce
0.631 0.107 0.631 Ce
0.631 0.631 0.631 Ce
0.107 0.631 0.631 Ce
0.000 0.000 0.000 Er
```

This record from Alexandria via LeMat-Bulk describes a geometry-optimized CeEuGdEr structure. The functional is PBE.

Energy = -8.474 eV per atom
Spin magnetization = 13.55 μB/f.u.
Calculated density = 7.59 g/cm3
Crystal system = cubic
Calculated volume = 33.7 Å³/atom

The structure in POSCAR format:
```
CeEuGdEr
1.0
-1.803 5.465 0.140
-5.536 1.230 -0.984
-3.355 1.815 4.311
Eu Gd Ce Er
1 1 1 1
Direct
0.000 0.000 0.000 Eu
0.750 0.750 0.750 Gd
0.500 0.500 0.500 Ce
0.250 0.250 0.250 Er
```

This record from Alexandria via LeMat-Bulk describes a geometry-optimized CeEuErIn structure. The functional is PBE.

Energy = -5.956 eV per atom
Spin magnetization = 9.10 μB/f.u.
Calculated density = 8.08 g/cm3
Crystal system = cubic
Calculated volume = 29.5 Å³/atom

The structure in POSCAR format:
```
CeEuErIn
1.0
-4.936 1.684 -1.765
-4.249 0.207 3.494
-1.991 4.868 1.626
Eu In Ce Er
1 1 1 1
Direct
0.750 0.750 0.750 Eu
0.250 0.250 0.250 In
0.000 0.000 0.000 Ce
0.500 0.500 0.500 Er
```

This record from Alexandria via LeMat-Bulk describes a geometry-optimized CeNdEuEr structure. The functional is PBE.

Energy = -6.154 eV per atom
Spin magnetization = 9.33 μB/f.u.
Calculated density = 7.28 g/cm3
Crystal system = cubic
Calculated volume = 34.4 Å³/atom

The structure in POSCAR format:
```
CeNdEuEr
1.0
5.796 0.000 0.000
2.898 5.019 0.000
2.898 1.673 4.732
Eu Nd Ce Er
1 1 1 1
Direct
0.000 0.000 0.000 Eu
0.250 0.250 0.250 Nd
0.500 0.500 0.500 Ce
0.750 0.750 0.750 Er
```

This record from Alexandria via LeMat-Bulk describes a geometry-optimized CeSmEuEr structure. The functional is PBE.

Energy = -6.142 eV per atom
Spin magnetization = 9.15 μB/f.u.
Calculated density = 7.45 g/cm3
Crystal system = cubic
Calculated volume = 34.0 Å³/atom

The structure in POSCAR format:
```
CeSmEuEr
1.0
-3.220 -4.005 -2.627
-0.649 -5.209 2.398
-5.094 -1.531 2.239
Eu Ce Sm Er
1 1 1 1
Direct
0.000 0.000 0.000 Eu
0.500 0.500 0.500 Ce
0.250 0.250 0.250 Sm
0.750 0.750 0.750 Er
```

This record from Alexandria via LeMat-Bulk describes a geometry-optimized CeEuErSn structure. The functional is PBE.

Energy = -6.388 eV per atom
Spin magnetization = 8.92 μB/f.u.
Calculated density = 8.28 g/cm3
Crystal system = cubic
Calculated volume = 29.0 Å³/atom

The structure in POSCAR format:
```
CeEuErSn
1.0
-1.428 -2.182 4.812
3.292 -3.625 2.446
2.707 1.394 4.548
Eu Sn Ce Er
1 1 1 1
Direct
0.750 0.750 0.750 Eu
0.250 0.250 0.250 Sn
0.500 0.500 0.500 Ce
0.000 0.000 0.000 Er
```

This record from Alexandria via LeMat-Bulk describes a geometry-optimized CeEuErTm structure. The functional is PBE.

Energy = -6.098 eV per atom
Spin magnetization = 8.20 μB/f.u.
Calculated density = 7.94 g/cm3
Crystal system = cubic
Calculated volume = 32.9 Å³/atom

The structure in POSCAR format:
```
CeEuErTm
1.0
-0.182 2.344 -5.200
-2.309 -2.884 -4.350
-4.992 1.673 -2.203
Eu Tm Ce Er
1 1 1 1
Direct
0.000 0.000 0.000 Eu
0.250 0.250 0.250 Tm
0.500 0.500 0.500 Ce
0.750 0.750 0.750 Er
```